1.
Entry from Alexandria via LeMat-Bulk: a relaxed CdIn2Te crystal (PBE-GGA).

POSCAR file:
```
CdIn2Te
1.0
-1.345 -5.605 3.203
-2.300 -5.100 -3.590
4.408 -4.257 -2.806
Cd Te In
2 2 4
direct
0.636 0.420 0.728
0.364 0.580 0.272
0.249 0.883 0.758
0.751 0.117 0.242
0.130 0.418 0.728
0.870 0.582 0.272
0.291 0.082 0.239
0.709 0.918 0.761
```

Values from the calculation:
As for the density of states at the Fermi level: 0.35 states/eV per atom. The volume is 115 Å³/f.u. As for the excess energy over the best structure of this formula in the dataset: 0.0095 eV per atom. The total energy comes out at -20.0 eV/cell.

=====

2.
Entry from Alexandria via LeMat-Bulk: a relaxed KCrAu2 crystal (PBE-GGA).

POSCAR file:
```
KCrAu2
1.0
-0.656 -5.158 0.960
5.097 -0.835 -1.133
0.736 0.459 2.972
Au Cr K
2 1 1
direct
0.000 0.000 0.000
0.500 0.500 0.000
0.500 0.000 0.500
0.000 0.500 0.500
```

Values from the calculation:
As for the density of states at the Fermi level: 0.29 states/eV per atom. The volume is 87 Å³/f.u. As for the excess energy over the best structure of this formula in the dataset: 0.1851 eV per atom. The total energy comes out at -16.3 eV/cell. For the energy relative to the elements, the calculation gives 239 meV per atom.

=====

3.
Entry from Alexandria via LeMat-Bulk: a relaxed InRuAu2 crystal (PBE-GGA).

POSCAR file:
```
InRuAu2
1.0
-0.965 2.462 1.313
-3.514 -1.881 0.945
2.345 -1.810 5.114
Au In Ru
2 1 1
direct
0.000 0.000 0.988
0.000 0.000 0.512
0.500 0.500 0.250
0.500 0.500 0.750
```

Values from the calculation:
As for the density of states at the Fermi level: 0.88 states/eV per atom. The volume is 71 Å³/f.u. The total energy comes out at -17.6 eV/cell. For the energy relative to the elements, the calculation gives 240 meV per atom.

=====

4.
Entry from Alexandria via LeMat-Bulk: a relaxed UTa2Be2Ru5 crystal (PBE-GGA).

POSCAR file:
```
UTa2Be2Ru5
1.0
-0.795 2.086 2.408
-2.251 -7.243 5.531
8.826 -0.312 3.184
U Ta Be Ru
2 4 4 10
direct
0.000 0.000 0.000
0.000 0.500 0.500
0.000 0.669 0.169
0.000 0.331 0.831
0.000 0.169 0.331
0.000 0.831 0.669
0.000 0.124 0.624
0.000 0.876 0.376
0.000 0.624 0.876
0.000 0.376 0.124
0.500 0.211 0.075
0.500 0.789 0.925
0.500 0.075 0.789
0.500 0.711 0.425
0.500 0.925 0.211
0.500 0.289 0.575
0.500 0.575 0.711
0.500 0.425 0.289
0.500 0.500 0.000
0.500 0.000 0.500
```

Values from the calculation:
As for the density of states at the Fermi level: 0.30 states/eV per atom. The volume is 145 Å³/f.u. The total energy comes out at -185.4 eV/cell. For the energy relative to the elements, the calculation gives -387 meV per atom.

=====

5.
Entry from Alexandria via LeMat-Bulk: a relaxed YMgAs2Pd5 crystal (PBE-GGA).

POSCAR file:
```
YMgAs2Pd5
1.0
-1.355 -3.795 1.202
0.676 -1.470 -3.881
8.238 -2.221 2.276
Y Mg As Pd
1 1 2 5
direct
0.000 0.000 0.000
0.000 0.000 0.500
0.500 0.500 0.140
0.500 0.500 0.860
0.000 0.500 0.285
0.500 0.000 0.285
0.000 0.500 0.715
0.500 0.000 0.715
0.500 0.500 0.500
```

Values from the calculation:
As for the density of states at the Fermi level: 0.19 states/eV per atom. The volume is 156 Å³/f.u. The total energy comes out at -49.8 eV/cell. For the energy relative to the elements, the calculation gives -725 meV per atom.

=====

6.
Entry from Alexandria via LeMat-Bulk: a relaxed GaOsRu2Br crystal (PBE-GGA).

POSCAR file:
```
GaOsRu2Br
1.0
4.542 0.000 0.000
0.000 4.567 0.000
0.000 0.000 4.542
Ru Os Ga Br
2 1 1 1
direct
0.000 0.000 0.500
0.500 0.000 0.000
0.000 0.500 0.000
0.500 0.500 0.500
0.000 0.000 0.000
```

Values from the calculation:
As for the density of states at the Fermi level: 1.66 states/eV per atom. The volume is 94 Å³/f.u. The total energy comes out at -25.5 eV/cell.